Model w:
This record from Alexandria describes crystalline MgAsP2 at its relaxed geometry. The functional is GGA-PBE.

The space group is Fm-3m (No. 225) and the conventional cell measures 6.529, 6.529 and 6.529 Å, with angles of 90.00, 90.00 and 90.00 degrees. Symmetry generates all atoms from Mg at (0.000, 0.000, 0.000), As at (0.000, 0.000, 0.500) and P at (0.250, 0.250, 0.250).

For the density of states at the Fermi level, the calculation gives 9.7 states/eV/cell.

---

Model x:
This record from Alexandria describes crystalline MgAsP2 at its relaxed geometry. The functional is GGA-PBE.

The space group is I-4m2 (No. 119) and the conventional cell measures 3.712, 3.712 and 10.259 Å, with angles of 90.00, 90.00 and 90.00 degrees. Symmetry generates all atoms from Mg at (0.000, 0.000, 0.000), As at (0.000, 0.500, 0.250), P at (0.000, 0.000, 0.500) and P at (0.000, 0.500, 0.750).

For the density of states at the Fermi level, the calculation gives 3.9 states/eV/cell.

---

Model y:
This record from Alexandria describes crystalline MgAsP2 at its relaxed geometry. The functional is GGA-PBE.

The space group is Pmmm (No. 47) and the conventional cell measures 3.503, 3.549 and 6.083 Å, with angles of 90.00, 90.00 and 90.00 degrees. Symmetry generates all atoms from Mg at (0.000, 0.000, 0.000), As at (0.500, 0.000, 0.500) and P at (0.500, 0.500, 0.193).

For the density of states at the Fermi level, the calculation gives 1.4 states/eV/cell.

---

Model z:
This record from Alexandria describes crystalline MgAsP2 at its relaxed geometry. The functional is GGA-PBE.

The space group is Cm (No. 8) and the conventional cell measures 11.587, 3.498 and 4.060 Å, with angles of 90.00, 110.41 and 90.00 degrees. Symmetry generates all atoms from Mg at (0.000, 0.000, 0.000), As at (0.229, 0.500, 0.762), P at (0.260, 0.000, 0.176) and P at (0.474, 0.000, 0.473).

For the density of states at the Fermi level, the calculation gives 2.2 states/eV/cell.

---

Most stable one: model z, least stable one: model w.

---

Model w:
This record from Alexandria describes crystalline MgAsP2 at its relaxed geometry. The functional is GGA-PBE.

The space group is F-43m (No. 216) and the conventional cell measures 6.517, 6.517 and 6.517 Å, with angles of 90.00, 90.00 and 90.00 degrees. Symmetry generates all atoms from Mg at (0.000, 0.000, 0.000), As at (0.250, 0.250, 0.750), P at (0.000, 0.000, 0.500) and P at (0.250, 0.250, 0.250).

For the density of states at the Fermi level, the calculation gives 11.5 states/eV/cell.

---

Model x:
This record from Alexandria describes crystalline MgAsP2 at its relaxed geometry. The functional is GGA-PBE.

The space group is R-3m (No. 166, hexagonal axes) and the conventional cell measures 2.9424, 2.9424 and 27.4127 Å, with angles of 90.00, 90.00 and 120.00 degrees. Symmetry generates all atoms from Mg at (0.0000, 0.0000, 0.0000), As at (0.0000, 0.0000, 0.5000) and P at (0.0000, 0.0000, 0.2563).

For the density of states at the Fermi level, the calculation gives 4.6 states/eV/cell.

---

Most stable one: model w, least stable one: model x.

---

Model w:
This record from Alexandria describes crystalline MgAsP2 at its relaxed geometry. The functional is GGA-PBE.

The space group is Imm2 (No. 44) and the conventional cell measures 3.328, 4.508 and 9.118 Å, with angles of 90.00, 90.00 and 90.00 degrees. Symmetry generates all atoms from Mg at (0.000, 0.000, 0.000), As at (0.000, 0.500, 0.204), P at (0.000, 0.000, 0.479) and P at (0.000, 0.500, 0.790).

For the density of states at the Fermi level, the calculation gives 2.7 states/eV/cell.

---

Model x:
This record from Alexandria describes crystalline MgAsP2 at its relaxed geometry. The functional is GGA-PBE.

The space group is Cmmm (No. 65) and the conventional cell measures 5.450, 7.070 and 3.572 Å, with angles of 90.00, 90.00 and 90.00 degrees. Symmetry generates all atoms from Mg at (0.000, 0.000, 0.000), As at (0.000, 0.500, 0.000) and P at (0.250, 0.250, 0.500).

For the density of states at the Fermi level, the calculation gives 3.5 states/eV/cell.

---

Model y:
This record from Alexandria describes crystalline MgAsP2 at its relaxed geometry. The functional is GGA-PBE.

The space group is C2/m (No. 12) and the conventional cell measures 5.355, 7.412 and 4.471 Å, with angles of 90.00, 124.27 and 90.00 degrees. Symmetry generates all atoms from Mg at (0.000, 0.000, 0.000), As at (0.000, 0.500, 0.000) and P at (0.250, 0.250, 0.500).

For the density of states at the Fermi level, the calculation gives 4.9 states/eV/cell.

---

Most stable one: model y, least stable one: model x.

---

Model w:
This record from Alexandria describes crystalline MgAsP2 at its relaxed geometry. The functional is GGA-PBE.

The space group is C2/m (No. 12) and the conventional cell measures 11.458, 3.248 and 4.744 Å, with angles of 90.00, 114.38 and 90.00 degrees. Symmetry generates all atoms from Mg at (0.000, 0.000, 0.000), As at (0.000, 0.500, 0.500) and P at (0.249, 0.500, 0.655).

For the density of states at the Fermi level, the calculation gives 0.8 states/eV/cell.

---

Model x:
This record from Alexandria describes crystalline MgAsP2 at its relaxed geometry. The functional is GGA-PBE.

The space group is P4/mmm (No. 123) and the conventional cell measures 4.543, 4.543 and 3.299 Å, with angles of 90.00, 90.00 and 90.00 degrees. Symmetry generates all atoms from Mg at (0.000, 0.000, 0.000), As at (0.500, 0.500, 0.000) and P at (0.000, 0.500, 0.500).

For the density of states at the Fermi level, the calculation gives 2.2 states/eV/cell.

---

Most stable one: model w, least stable one: model x.

---

Model w:
This record from Alexandria describes crystalline Mg2AsP at its relaxed geometry. The functional is GGA-PBE.

The space group is P4mm (No. 99) and the conventional cell measures 3.840, 3.840 and 5.441 Å, with angles of 90.00, 90.00 and 90.00 degrees. Symmetry generates all atoms from Mg at (0.000, 0.000, 0.000), Mg at (0.500, 0.500, 0.498), As at (0.000, 0.000, 0.501) and P at (0.500, 0.500, 0.999).

For the density of states at the Fermi level, the calculation gives 3.6 states/eV/cell.

---

Model x:
This record from Alexandria describes crystalline Mg2AsP at its relaxed geometry. The functional is GGA-PBE.

The space group is F-43m (No. 216) and the conventional cell measures 6.687, 6.687 and 6.687 Å, with angles of 90.00, 90.00 and 90.00 degrees. Symmetry generates all atoms from Mg at (0.000, 0.000, 0.000), Mg at (0.250, 0.250, 0.250), As at (0.000, 0.000, 0.500) and P at (0.250, 0.250, 0.750).

For the density of states at the Fermi level, the calculation gives 6.7 states/eV/cell.

---

Most stable one: model w, least stable one: model x.

---

Model w:
This record from Alexandria describes crystalline Mg2AsP at its relaxed geometry. The functional is GGA-PBE.

The space group is Cmmm (No. 65) and the conventional cell measures 4.155, 4.799 and 7.450 Å, with angles of 90.00, 90.00 and 90.00 degrees. Symmetry generates all atoms from Mg at (0.000, 0.000, 0.231), As at (0.000, 0.500, 0.500) and P at (0.000, 0.500, 0.000).

For the density of states at the Fermi level, the calculation gives 2.8 states/eV/cell.

---

Model x:
This record from Alexandria describes crystalline Mg2AsP at its relaxed geometry. The functional is GGA-PBE.

The space group is R-3m (No. 166, hexagonal axes) and the conventional cell measures 3.5353, 3.5353 and 21.8117 Å, with angles of 90.00, 90.00 and 120.00 degrees. Symmetry generates all atoms from Mg at (0.0000, 0.0000, 0.2412), As at (0.0000, 0.0000, 0.0000) and P at (0.0000, 0.0000, 0.5000).

For the density of states at the Fermi level, the calculation gives 7.3 states/eV/cell.

---

Model y:
This record from Alexandria describes crystalline Mg2AsP at its relaxed geometry. The functional is GGA-PBE.

The space group is C2/m (No. 12) and the conventional cell measures 5.809, 7.148 and 3.578 Å, with angles of 90.00, 95.90 and 90.00 degrees. Symmetry generates all atoms from Mg at (0.250, 0.250, 0.000), As at (0.000, 0.000, 0.500) and P at (0.000, 0.500, 0.500).

For the density of states at the Fermi level, the calculation gives 2.5 states/eV/cell.

---

Model z:
This record from Alexandria describes crystalline Mg2AsP at its relaxed geometry. The functional is GGA-PBE.

The space group is Imm2 (No. 44) and the conventional cell measures 3.485, 3.977 and 11.154 Å, with angles of 90.00, 90.00 and 90.00 degrees. Symmetry generates all atoms from Mg at (0.000, 0.000, 0.000), Mg at (0.000, 0.500, 0.226), As at (0.000, 0.000, 0.405) and P at (0.000, 0.500, 0.692).

For the density of states at the Fermi level, the calculation gives 2.7 states/eV/cell.

---

Most stable one: model x, least stable one: model w.

---

Model w:
This record from Alexandria describes crystalline Mg3AsP at its relaxed geometry. The functional is GGA-PBE.

The space group is Pm-3m (No. 221) and the conventional cell measures 4.802, 4.802 and 4.802 Å, with angles of 90.00, 90.00 and 90.00 degrees. Symmetry generates all atoms from Mg at (0.000, 0.000, 0.500), As at (0.500, 0.500, 0.500) and P at (0.000, 0.000, 0.000).

For the density of states at the Fermi level, the calculation gives 0.0 states/eV/cell.

---

Model x:
This record from Alexandria describes crystalline Mg3AsP at its relaxed geometry. The functional is GGA-PBE.

The space group is Pm-3m (No. 221) and the conventional cell measures 4.888, 4.888 and 4.888 Å, with angles of 90.00, 90.00 and 90.00 degrees. Symmetry generates all atoms from Mg at (0.000, 0.000, 0.500), As at (0.000, 0.000, 0.000) and P at (0.500, 0.500, 0.500).

For the density of states at the Fermi level, the calculation gives 0.0 states/eV/cell.

---

Model y:
This record from Alexandria describes crystalline Mg3AsP at its relaxed geometry. The functional is GGA-PBE.

The space group is P2_1/m (No. 11) and the conventional cell measures 6.407, 4.370 and 9.068 Å, with angles of 90.00, 94.99 and 90.00 degrees. Symmetry generates all atoms from Mg at (0.020, 0.250, 0.127), Mg at (0.027, 0.750, 0.377), Mg at (0.470, 0.750, 0.848), As at (0.269, 0.750, 0.114) and P at (0.178, 0.750, 0.648).

For the density of states at the Fermi level, the calculation gives 0.0 states/eV/cell.

---

Most stable one: model y, least stable one: model x.

---

Model w:
This record from Alexandria describes crystalline Mg2AsP2 at its relaxed geometry. The functional is GGA-PBE.

The space group is P4/mbm (No. 127) and the conventional cell measures 7.202, 7.202 and 3.529 Å, with angles of 90.00, 90.00 and 90.00 degrees. Symmetry generates all atoms from Mg at (0.143, 0.357, 0.000), As at (0.000, 0.000, 0.500) and P at (0.166, 0.666, 0.500).

For the density of states at the Fermi level, the calculation gives 3.0 states/eV/cell.

---

Model x:
This record from Alexandria describes crystalline Mg2AsP2 at its relaxed geometry. The functional is GGA-PBE.

The space group is I4/mmm (No. 139) and the conventional cell measures 3.471, 3.471 and 15.037 Å, with angles of 90.00, 90.00 and 90.00 degrees. Symmetry generates all atoms from Mg at (0.000, 0.000, 0.104), As at (0.000, 0.000, 0.500) and P at (0.000, 0.500, 0.250).

For the density of states at the Fermi level, the calculation gives 3.8 states/eV/cell.

---

Most stable one: model x, least stable one: model w.